[1]
KNbFeP2: optimized geometry, PBE-GGA.

Cell lengths 4.9361, 4.0315, 4.9361 Å; angles 90.00, 90.00, 90.00 degrees
Last column: nearest neighbours and their distance in Å.
Sites, in units of the cell vectors:
Fe 0.0000 0.5000 0.0000  2 K 2.02
K 0.0000 0.0000 0.0000  2 Fe 2.02
P 0.0000 0.0000 0.5000  2 K 2.47
Nb 0.5000 0.5000 0.5000  8 P 3.19, 4 Fe 3.49
P 0.5000 0.0000 0.0000  2 K 2.47

Values from the calculation:
E: -3.75 eV/atom
space group: No. 123

[2]
KRbNbFe2: optimized geometry, PBE-GGA.

Cell lengths 4.6090, 6.2399, 4.6090 Å; angles 90.00, 90.00, 90.00 degrees
Last column: nearest neighbours and their distance in Å.
Sites, in units of the cell vectors:
Rb 0.0000 0.5000 0.0000  2 Nb 3.12, 4 K 3.26
K 0.5000 0.5000 0.5000  4 Rb 3.26
Fe 0.5000 0.0000 0.0000  2 Nb 2.30
Nb 0.0000 0.0000 0.0000  4 Fe 2.30
Fe 0.0000 0.0000 0.5000  2 Nb 2.30

Values from the calculation:
E: -4.34 eV/atom
space group: No. 123

[3]
KNbFeRe2: optimized geometry, PBE-GGA.

Cell lengths 4.7820, 5.3481, 4.7820 Å; angles 90.00, 90.00, 90.00 degrees
Last column: nearest neighbours and their distance in Å.
Sites, in units of the cell vectors:
Fe 0.5000 0.5000 0.5000  4 K 3.38, 8 Re 3.59
Nb 0.0000 0.0000 0.0000  4 Re 2.39, 2 K 2.67
K 0.0000 0.5000 0.0000  2 Nb 2.67
Re 0.0000 0.0000 0.5000  2 Nb 2.39
Re 0.5000 0.0000 0.0000  2 Nb 2.39

Values from the calculation:
E: -6.42 eV/atom
space group: No. 123

[4]
KNb2FeSi: optimized geometry, PBE-GGA.

Cell lengths 4.6173, 5.1825, 4.6173 Å; angles 90.00, 90.00, 90.00 degrees
Last column: nearest neighbours and their distance in Å.
Sites, in units of the cell vectors:
Fe 0.0000 0.0000 0.0000  4 Nb 2.31
Si 0.5000 0.5000 0.5000  4 K 3.26, 8 Nb 3.47
K 0.0000 0.5000 0.0000  2 Fe 2.59
Nb 0.0000 0.0000 0.5000  2 Fe 2.31
Nb 0.5000 0.0000 0.0000  2 Fe 2.31

Values from the calculation:
space group: No. 123
E_form (uncorrected): 1.36 eV/atom

[5]
K2ZrNbFe: optimized geometry, PBE-GGA.

Cell lengths 6.4626, 4.8914, 6.4626 Å; angles 90.00, 90.00, 90.00 degrees
Last column: nearest neighbours and their distance in Å.
Sites, in units of the cell vectors:
Fe 0.5000 0.5000 0.5000  8 K 4.05
K 0.5000 0.0000 0.0000  2 Nb 3.23
Nb 0.0000 0.0000 0.0000  2 Zr 2.45
K 0.0000 0.0000 0.5000  2 Nb 3.23
Zr 0.0000 0.5000 0.0000  2 Nb 2.45

Values from the calculation:
E: -3.94 eV/atom
space group: No. 123

> Which formula does entry 2 have?

KRbNbFe2